# NiBi2BrF (PBE+U, relaxed)
# ΔE to the lowest computed polymorph: 0 meV/atom
data_NiBi2BrF
_cell_length_a 5.6758
_cell_length_b 5.6758
_cell_length_c 3.7806
_cell_angle_alpha 90.00
_cell_angle_beta 90.00
_cell_angle_gamma 90.00
_space_group_name_H-M_alt 'P 4/m m m'
_space_group_IT_number 123
_space_group_name_Hall '-P 4 2'
loop_
_atom_site_label
_atom_site_type_symbol
_atom_site_fract_x
_atom_site_fract_y
_atom_site_fract_z
Ni1 Ni 0.0000 0.0000 0.0000
Bi1 Bi 0.0000 0.5000 0.5000
Br1 Br 0.5000 0.5000 0.0000
F1 F 0.0000 0.0000 0.5000